(1)
The following is a DFT calculation (PBE) of TlCrIrPt2 after structural relaxation.

DFT total energy ... -28.520 eV per cell
D(E_F) ... 1.2433 states/eV/atom
SG ... P4/mmm
Formation energy ... 4.4 eV per formula unit
M_tot ... 0.00 μB per atom

Unit cell a=4.7073 b=4.5147 c=4.7073 alpha=90.00 beta=90.00 gamma=90.00
Positions (direct):
Pt 0.5000 0.0000 0.0000
Pt 0.0000 0.0000 0.5000
Tl 0.5000 0.5000 0.5000
Ir 0.0000 0.5000 0.0000
Cr 0.0000 0.0000 0.0000

***

(2)
The following is a DFT calculation (PBE) of Pu2CrIr after structural relaxation.

DFT total energy ... -47.353 eV per cell
D(E_F) ... 2.6376 states/eV/atom
SG ... P4/mmm
Formation energy ... -0.2 eV per formula unit
M_tot ... 1.78 μB per atom

Unit cell a=3.5690 b=3.5690 c=6.2139 alpha=90.00 beta=90.00 gamma=90.00
Positions (direct):
Pu 0.0000 0.0000 0.7540
Pu 0.0000 0.0000 0.2460
Cr 0.5000 0.5000 0.5000
Ir 0.5000 0.5000 0.0000

***

(3)
The following is a DFT calculation (PBE) of PuCrIr2 after structural relaxation.

DFT total energy ... -42.574 eV per cell
D(E_F) ... 1.6830 states/eV/atom
SG ... P4/mmm
Formation energy ... -0.9 eV per formula unit
M_tot ... 0.13 μB per atom

Unit cell a=3.9262 b=4.0985 c=4.0985 alpha=90.00 beta=90.00 gamma=90.00
Positions (direct):
Ir 0.0000 0.0000 0.5000
Ir 0.0000 0.5000 0.0000
Cr 0.5000 0.5000 0.5000
Pu 0.5000 0.0000 0.0000

***

(4)
The following is a DFT calculation (PBE) of PuUCrIr after structural relaxation.

DFT total energy ... -44.812 eV per cell
D(E_F) ... 1.5060 states/eV/atom
SG ... F-43m
Formation energy ... -0.7 eV per formula unit
M_tot ... 0.30 μB per atom

Unit cell a=4.6065 b=4.6065 c=4.6065 alpha=60.00 beta=60.00 gamma=60.00
Positions (direct):
Pu 0.0000 0.0000 0.0000
Ir 0.7500 0.7500 0.7500
Cr 0.5000 0.5000 0.5000
U 0.2500 0.2500 0.2500

***

(5)
The following is a DFT calculation (PBE) of RbCr2Ir after structural relaxation.

DFT total energy ... -23.553 eV per cell
Relative energy among the computed polymorphs ... 317.0 meV/atom
D(E_F) ... 1.8541 states/eV/atom
SG ... Fm-3m
Formation energy ... 5.5 eV per formula unit
M_tot ... 2.04 μB per atom

Unit cell a=4.8320 b=4.8320 c=4.8320 alpha=60.00 beta=60.00 gamma=60.00
Positions (direct):
Cr 0.7500 0.7500 0.7500
Cr 0.2500 0.2500 0.2500
Ir 0.5000 0.5000 0.5000
Rb 0.0000 0.0000 0.0000